Below is crystalline KCaOs2 at its relaxed geometry, with properties calculated at the GGA-PBEsol level.

abc: 10.6805 10.6805 10.6805
angles: 15.19 15.19 15.19
Positions (direct):
K (0.0000, 0.0000, 0.0000)
Ca (0.5000, 0.5000, 0.5000)
Os (0.2440, 0.2440, 0.2440)
Os (0.7560, 0.7560, 0.7560)

Mass density (g cm⁻³): 10.478
Total energy (eV/atom): -5.841
SG: R-3m